An optimized crystal structure of CsKCdCl4. Source: the Alexandria database, functional PBE-GGA.

Summary:
Space-group type: P2_1/m, No. 11
Formation energy (no corrections) in eV per atom: -1.62

Cell lengths 7.6414, 7.4710, 9.4348 Å; angles 90.00, 107.69, 90.00 degrees
With the nearest neighbours (Å) after each atom.
Atoms (fractional coordinates):
Cl (0.9863, 0.9989, 0.7289)  1 Cd 2.51
Cl (0.4283, 0.7500, 0.1470)  1 Cd 2.49
Cl (0.0137, 0.4989, 0.2711)  1 Cd 2.51
Cl (0.0137, 0.0011, 0.2711)  1 Cd 2.51
Cl (0.9863, 0.5011, 0.7289)  1 Cd 2.51
Cl (0.5498, 0.2500, 0.4185)  1 Cd 2.47
Cl (0.5717, 0.2500, 0.8530)  1 Cd 2.49
Cl (0.4502, 0.7500, 0.5815)  1 Cd 2.47
Cd (0.7572, 0.2500, 0.6765)  4 Cl 2.47-2.51
Cd (0.2428, 0.7500, 0.3235)  4 Cl 2.47-2.51
K (0.7841, 0.7500, 0.4444)  6 Cl 3.19-3.32
K (0.2159, 0.2500, 0.5556)  6 Cl 3.19-3.32
Cs (0.7391, 0.7500, 0.9406)  6 Cl 3.44-3.70
Cs (0.2609, 0.2500, 0.0594)  6 Cl 3.44-3.70